Entry 1:
LaHgPO2: optimized geometry, PBEsol.

Lattice parameters (Å, degrees): 4.158 4.158 6.357 90.00 90.00 90.00
Sites, in units of the cell vectors:
La  0.000  0.000  0.000
Hg  0.500  0.500  0.500
P  0.000  0.000  0.500
O  0.000  0.500  0.000
O  0.500  0.000  0.000

Computed properties:
For the energy, the calculation gives -5.1976 eV/atom. As for the crystal system: tetragonal. The value obtained for the uncorrected formation energy is -3.8 eV per formula unit. Its total magnetization is 0.00 μB per atom.

***

Entry 2:
ScHg: optimized geometry, PBEsol.

Lattice parameters (Å, degrees): 5.728 5.728 5.728 90.00 90.00 90.00
Sites, in units of the cell vectors:
Sc  0.000  0.000  0.000
Sc  0.000  0.500  0.500
Sc  0.500  0.000  0.500
Sc  0.500  0.500  0.000
Hg  0.000  0.000  0.500
Hg  0.000  0.500  0.000
Hg  0.500  0.000  0.000
Hg  0.500  0.500  0.500

Computed properties:
For the energy, the calculation gives -3.7895 eV/atom. As for the crystal system: cubic. Its total magnetization is 0.00 μB per atom.

***

Entry 3:
AlSe: optimized geometry, PBEsol.

Lattice parameters (Å, degrees): 3.787 11.185 3.616 90.00 90.00 90.00
Sites, in units of the cell vectors:
Al  0.000  0.112  0.250
Al  0.000  0.888  0.750
Al  0.500  0.388  0.750
Al  0.500  0.612  0.250
Se  0.000  0.350  0.250
Se  0.000  0.650  0.750
Se  0.500  0.150  0.750
Se  0.500  0.850  0.250

Computed properties:
For the energy, the calculation gives -4.3552 eV/atom. As for the crystal system: orthorhombic. The value obtained for the uncorrected formation energy is -0.8 eV per formula unit. Its total magnetization is 0.00 μB per atom.

***

Entry 4:
LiYZn2: optimized geometry, PBEsol.

Lattice parameters (Å, degrees): 3.303 3.303 6.672 90.00 90.00 90.00
Sites, in units of the cell vectors:
Li  0.000  0.000  0.000
Y  0.000  0.000  0.500
Zn  0.500  0.500  0.206
Zn  0.500  0.500  0.794

Computed properties:
For the energy, the calculation gives -3.1902 eV/atom. As for the crystal system: tetragonal. Its total magnetization is 0.00 μB per atom.